Record 1
SnAsPd: optimized geometry, GGA-PBE.

Geometry as POSCAR:
```
SnAsPd
1.0
-1.334 4.902 -4.164
-5.565 -3.145 -1.919
-0.111 4.291 5.087
Sn Pd As
4 4 4
Direct
0.864 0.844 0.163
0.364 0.656 0.837
0.136 0.156 0.837
0.636 0.344 0.163
0.488 0.773 0.277
0.012 0.273 0.277
0.988 0.727 0.723
0.512 0.227 0.723
0.367 0.164 0.340
0.633 0.836 0.660
0.133 0.664 0.340
0.867 0.336 0.660
```

Results
- V (A^3/atom) = 20.9
- energy (eV per atom) = -4.97
- relative energy among the computed polymorphs (meV per atom) = 0
- SG = P2_1/c, No. 14
- magnetization (μB/atom) = 0.000
- ΔH_f (0 K) (meV per atom) = -350

---

Record 2
KTbCuSe2: optimized geometry, GGA-PBE.

Geometry as POSCAR:
```
KTbCuSe2
1.0
-3.492 1.962 -2.255
-4.280 -0.122 6.522
3.484 7.318 0.971
Se K Cu Tb
4 2 2 2
Direct
0.671 0.762 0.968
0.329 0.762 0.468
0.671 0.238 0.532
0.329 0.238 0.032
0.155 0.500 0.750
0.845 0.500 0.250
0.000 0.000 0.000
0.000 0.000 0.500
0.507 0.000 0.750
0.493 0.000 0.250
```

Results
- V (A^3/atom) = 28.9
- energy (eV per atom) = -4.38
- SG = P2/c, No. 13
- formation energy from raw total energies (meV/atom) = -1020.8
- magnetization (μB/atom) = 0.000

---

Record 3
Li2TlAsI6: optimized geometry, GGA-PBE.

Geometry as POSCAR:
```
Li2TlAsI6
1.0
-6.913 0.320 -2.598
-3.805 -6.231 -1.157
-6.425 -1.645 6.379
Li I As Tl
2 6 1 1
Direct
0.648 0.648 0.056
0.984 0.984 0.048
0.379 0.707 0.848
0.925 0.567 0.255
0.065 0.379 0.848
0.567 0.253 0.255
0.707 0.065 0.848
0.253 0.925 0.255
0.316 0.316 0.051
0.816 0.816 0.552
```

Results
- V (A^3/atom) = 38.6
- energy (eV per atom) = -2.69
- SG = R-3, No. 148
- formation energy from raw total energies (meV/atom) = -671.1
- magnetization (μB/atom) = 0.000

---

Record 4
BaSr2CoN2: optimized geometry, GGA-PBE.

Geometry as POSCAR:
```
BaSr2CoN2
1.0
-1.447 3.852 -0.211
-4.255 -1.804 -3.739
-6.883 -2.102 8.848
N Ba Co Sr
4 2 2 4
Direct
0.500 0.293 0.618
0.000 0.207 0.118
0.000 0.793 0.882
0.500 0.707 0.382
0.500 0.500 0.000
0.000 0.000 0.500
0.500 0.500 0.500
0.000 0.000 0.000
0.000 0.499 0.703
0.500 0.999 0.797
0.500 0.001 0.203
0.000 0.501 0.297
```

Results
- V (A^3/atom) = 23.3
- energy (eV per atom) = -5.20
- SG = Pnnm, No. 58
- formation energy from raw total energies (meV/atom) = -355.4
- magnetization (μB/atom) = 0.196

---

Record 5
Pu2AgH: optimized geometry, GGA-PBE.

Geometry as POSCAR:
```
Pu2AgH
1.0
3.096 0.000 0.000
1.548 2.682 0.000
1.548 0.894 9.253
Pu H Ag
2 1 1
Direct
0.110 0.110 0.671
0.890 0.890 0.329
0.500 0.500 0.500
0.000 0.000 0.000
```

Results
- V (A^3/atom) = 19.2
- energy (eV per atom) = -8.51
- relative energy among the computed polymorphs (meV per atom) = 119
- SG = R-3m, No. 166
- magnetization (μB/atom) = 2.811

---

Record 6
MnZnTe: optimized geometry, GGA-PBE.

Geometry as POSCAR:
```
MnZnTe
1.0
-4.294 -1.066 -0.553
-1.254 -4.278 0.011
-2.352 -1.625 3.421
Mn Zn Te
1 1 1
Direct
0.750 0.750 0.750
0.500 0.500 0.500
0.000 0.000 0.000
```

Results
- V (A^3/atom) = 20.9
- energy (eV per atom) = -4.39
- relative energy among the computed polymorphs (meV per atom) = 242
- SG = F-43m, No. 216
- formation energy from raw total energies (meV/atom) = 142.1
- magnetization (μB/atom) = 1.124

---

Record 7
MnSeBrN2: optimized geometry, GGA-PBE.

Geometry as POSCAR:
```
MnSeBrN2
1.0
-2.875 -2.225 0.602
0.773 -1.837 -3.100
3.233 -3.413 2.828
Mn N Se Br
1 2 1 1
Direct
0.000 0.000 0.000
0.000 0.500 0.000
0.500 0.000 0.000
0.000 0.000 0.500
0.500 0.500 0.500
```

Results
- V (A^3/atom) = 14.9
- energy (eV per atom) = -5.42
- relative energy among the computed polymorphs (meV per atom) = 0
- SG = P4/mmm, No. 123
- formation energy from raw total energies (meV/atom) = 774.7
- magnetization (μB/atom) = 0.000

---

Record 8
Ce2U2N7: optimized geometry, GGA-PBE.

Geometry as POSCAR:
```
Ce2U2N7
1.0
-4.418 3.042 -0.493
0.212 -0.566 -5.398
-2.696 -4.648 0.382
N U Ce
7 2 2
Direct
0.000 0.000 0.000
0.500 0.243 0.000
0.500 0.240 0.500
0.000 0.757 0.500
0.500 0.757 0.000
0.500 0.760 0.500
0.000 0.243 0.500
0.270 0.000 0.730
0.730 0.000 0.270
0.741 0.500 0.741
0.259 0.500 0.259
```

Results
- V (A^3/atom) = 14.3
- energy (eV per atom) = -9.60
- relative energy among the computed polymorphs (meV per atom) = 125
- SG = Cmmm, No. 65
- formation energy from raw total energies (meV/atom) = -1174.4
- magnetization (μB/atom) = 0.000

---

Record 9
CsTlPtAu2: optimized geometry, GGA-PBE.

Geometry as POSCAR:
```
CsTlPtAu2
1.0
5.416 0.000 0.000
0.000 5.416 0.000
0.000 0.000 5.240
Au Cs Tl Pt
2 1 1 1
Direct
0.000 0.500 0.000
0.500 0.000 0.000
0.500 0.500 0.500
0.000 0.000 0.500
0.000 0.000 0.000
```

Results
- V (A^3/atom) = 30.7
- energy (eV per atom) = -3.27
- SG = P4/mmm, No. 123
- magnetization (μB/atom) = 0.000
- ΔH_f (0 K) (meV per atom) = -108

---

Record 10
Ta2RuAu: optimized geometry, GGA-PBE.

Geometry as POSCAR:
```
Ta2RuAu
1.0
4.603 0.000 0.000
0.000 2.940 0.003
0.000 0.488 5.015
Ru Ta Au
1 2 1
Direct
0.500 0.608 0.812
0.500 0.208 0.295
0.000 0.042 0.936
0.000 0.641 0.457
```

Results
- V (A^3/atom) = 17.0
- energy (eV per atom) = -9.17
- relative energy among the computed polymorphs (meV per atom) = 61
- SG = Pm, No. 6
- magnetization (μB/atom) = 0.000
- ΔH_f (0 K) (meV per atom) = -102

---

Record 11
La3PrNd12: optimized geometry, GGA-PBE.

Geometry as POSCAR:
```
La3PrNd12
1.0
-2.910 4.068 -1.527
-2.982 -3.206 -2.860
-12.616 -2.876 16.373
Nd La Pr
12 3 1
Direct
0.500 0.500 0.500
0.000 0.500 0.875
0.500 0.000 0.125
0.000 0.500 0.375
0.500 0.500 0.250
0.500 0.500 0.750
0.500 0.000 0.625
0.500 0.000 0.875
0.000 0.500 0.125
0.000 0.500 0.625
0.500 0.000 0.375
0.500 0.500 0.000
0.000 0.000 0.750
0.000 0.000 0.250
0.000 0.000 0.500
0.000 0.000 0.000
```

Results
- V (A^3/atom) = 35.7
- energy (eV per atom) = -4.79
- SG = P4/mmm, No. 123
- magnetization (μB/atom) = 0.000
- ΔH_f (0 K) (meV per atom) = 11

---

Record 12
Sc2ReMo: optimized geometry, GGA-PBE.

Geometry as POSCAR:
```
Sc2ReMo
1.0
-5.310 -0.859 -1.112
1.862 -1.775 4.738
-1.217 1.893 1.730
Sc Mo Re
2 1 1
Direct
0.000 0.000 0.000
0.500 0.000 0.500
0.000 0.500 0.500
0.500 0.500 0.000
```

Results
- V (A^3/atom) = 17.5
- energy (eV per atom) = -8.87
- relative energy among the computed polymorphs (meV per atom) = 205
- SG = C2/m, No. 12
- magnetization (μB/atom) = 0.000
- ΔH_f (0 K) (meV per atom) = 115